Record 1
A relaxed Np2Sn2Se3S2 crystal, computed with GGA-PBE.

## Properties
DOS(E_F) = 16.1 states/eV/f.u.
Total DFT energy (no corrections) = -6.3149 eV per atom

Cell: 5.273 5.273 19.706 Å, 90.00 90.00 90.00°
Space group I4/mmm (No. 139)
Symmetry-distinct sites (fractional):
Np (0.000, 0.500, 0.000) (multiplicity 4)
Sn (0.000, 0.000, 0.192) (multiplicity 4)
Se (0.000, 0.000, 0.000) (multiplicity 2)
Se (0.000, 0.500, 0.250) (multiplicity 4)
S (0.000, 0.000, 0.425) (multiplicity 4)

Record 2
A relaxed CrGeSbI2 crystal, computed with GGA-PBE.

## Properties
DOS(E_F) = 3.9 states/eV/f.u.
Total DFT energy (no corrections) = -3.5844 eV per atom
Relative energy among the computed polymorphs = 202 meV/atom

Cell: 5.672 5.672 5.593 Å, 90.00 90.00 90.00°
Space group P4/mmm (No. 123)
Symmetry-distinct sites (fractional):
Cr (0.000, 0.000, 0.000) (multiplicity 1)
Ge (0.500, 0.500, 0.500) (multiplicity 1)
Sb (0.500, 0.500, 0.000) (multiplicity 1)
I (0.000, 0.500, 0.500) (multiplicity 2)

- Which value of DOS(E_F) does entry 2 give?
  3.9 states/eV/f.u.

- What is the DOS(E_F) in the second record?
  3.9 states/eV/f.u.

- DOS(E_F) of number 2 (CrGeSbI2)?
  3.9 states/eV/f.u.

- What is the total DFT energy (no corrections) in the first record?
  -6.3149 eV per atom